Sr2MgTlSe5 | PBE | relaxed

Cell: 9.6703 9.6703 12.6444 Å, 90.00 90.00 155.01°
With the nearest neighbours (Å) after each atom.
Atoms (fractional coordinates):
Sr1 0.1169 0.8831 0.5000  6 Se 3.10-3.43
Sr2 0.1331 0.8669 0.1338  8 Se 3.16-3.32
Sr3 0.8669 0.1331 0.6338  8 Se 3.16-3.32
Sr4 0.8831 0.1169 0.0000  6 Se 3.10-3.43
Mg1 0.2261 0.7739 0.8431  5 Se 2.61-2.83
Mg2 0.7739 0.2261 0.3431  5 Se 2.61-2.83
Tl1 0.4440 0.5560 0.2708  4 Se 2.60-2.82
Tl2 0.5560 0.4440 0.7708  4 Se 2.60-2.82
Se1 0.0523 0.9477 0.9010  2 Tl 2.66
Se2 0.2858 0.7142 0.4853  2 Mg 2.77
Se3 0.3027 0.6973 0.1988  1 Tl 2.82, 2 Mg 2.83
Se4 0.3637 0.6363 0.8216  1 Mg 2.61
Se5 0.4979 0.5021 0.5843  1 Tl 2.60
Se6 0.5021 0.4979 0.0843  1 Tl 2.60
Se7 0.6363 0.3637 0.3216  1 Mg 2.61
Se8 0.6973 0.3027 0.6988  1 Tl 2.82, 2 Mg 2.83
Se9 0.7142 0.2858 0.9853  2 Mg 2.77
Se10 0.9477 0.0523 0.4010  2 Tl 2.66

## Properties
For the total energy, the calculation gives -3.8784 eV per atom.